Record 1
Ba3Cd4Rh2: optimized geometry, PBE.

Cell: 7.7667 9.1854 9.1854 Å, 68.67 73.16 73.16°
Sites, in units of the cell vectors:
Cd 0.1510 0.6105 0.1301
Rh 0.5874 0.8589 0.5787
Cd 0.6510 0.1301 0.6105
Cd 0.5507 0.4006 0.2033
Ba 0.6655 0.7626 0.9719
Cd 0.4493 0.5994 0.7967
Ba 0.8345 0.0281 0.2374
Ba 0.2500 0.4543 0.5457
Rh 0.0874 0.5787 0.8589
Ba 0.3345 0.2374 0.0281
Rh 0.9126 0.4213 0.1411
Cd 0.9493 0.7967 0.5994
Cd 0.0507 0.2033 0.4006
Ba 0.1655 0.9719 0.7626
Cd 0.8490 0.3895 0.8699
Rh 0.4126 0.1411 0.4213
Ba 0.7500 0.5457 0.4543
Cd 0.3490 0.8699 0.3895

Properties
As for the formation energy: -0.22 eV per atom. As for the total energy: -26.14 eV per formula unit. For the density of states at the Fermi level, the calculation gives 11.16 states/eV per cell. The volume comes out at 31.76 A^3/atom.

***

Record 2
Er4Cu2H: optimized geometry, PBE.

Cell: 4.6561 4.6561 7.6265 Å, 107.77 107.77 90.00°
Sites, in units of the cell vectors:
Er 0.0000 0.5000 0.0000
Cu 0.3835 0.3835 0.7671
H 0.0000 0.0000 0.0000
Cu 0.6165 0.6165 0.2329
Er 0.5000 0.0000 0.0000
Er 0.8098 0.8098 0.6197
Er 0.1902 0.1902 0.3803

Properties
As for the total energy: -30.88 eV per formula unit. For the density of states at the Fermi level, the calculation gives 7.61 states/eV per cell. The volume comes out at 21.30 A^3/atom.

***

Record 3
YGaAg3: optimized geometry, PBE.

Cell: 5.5405 5.5405 5.5405 Å, 90.00 90.00 90.00°
Sites, in units of the cell vectors:
Y 0.0000 0.0000 0.0000
Ag 0.0000 0.5000 0.0000
Ag 0.0000 0.0000 0.5000
Ga 0.5000 0.5000 0.5000
Ag 0.5000 0.0000 0.0000

Properties
As for the formation energy: 0.88 eV per atom. As for the total energy: -13.67 eV per formula unit. For the density of states at the Fermi level, the calculation gives 2.50 states/eV per cell. The volume comes out at 34.02 A^3/atom.

***

Record 4
GaSi2Ge: optimized geometry, PBE.

Cell: 5.6707 5.6707 6.8314 Å, 65.48 65.48 90.00°
Sites, in units of the cell vectors:
Si 0.3750 0.3721 0.7500
Ge 0.0000 0.0000 0.0000
Ga 0.5000 0.5000 0.0000
Ge 0.7500 0.2500 0.5000
Si 0.6279 0.1250 0.2500
Ga 0.2500 0.7500 0.5000
Si 0.8750 0.8779 0.7500
Si 0.1221 0.6250 0.2500

Properties
As for the total energy: -17.82 eV per formula unit. For the density of states at the Fermi level, the calculation gives 4.17 states/eV per cell. The volume comes out at 22.23 A^3/atom. Its uncorrected formation energy is 0.7 eV/f.u.

***

Record 5
Cs2SmOF3: optimized geometry, PBE.

Cell: 4.5467 4.6829 8.3015 Å, 106.38 105.89 90.00°
Sites, in units of the cell vectors:
Cs 0.6482 0.6482 0.2963
F 0.1521 0.1521 0.3042
F 0.0000 0.5000 0.0000
F 0.8479 0.8479 0.6958
O 0.5000 0.0000 0.0000
Cs 0.3518 0.3518 0.7037
Sm 0.0000 0.0000 0.0000

Properties
As for the total energy: -38.53 eV per formula unit. For the density of states at the Fermi level, the calculation gives 0.00 states/eV per cell. The volume comes out at 23.22 A^3/atom. Its uncorrected formation energy is -21.5 eV/f.u.

***

Record 6
TiInAu: optimized geometry, PBE.

Cell: 3.1640 7.2868 5.4601 Å, 107.81 73.24 89.94°
Sites, in units of the cell vectors:
Au 0.7911 0.1102 0.1581
Ti 0.1420 0.4210 0.4556
Ti 0.8358 0.5108 0.0664
Au 0.1870 0.8217 0.3638
In 0.5044 0.1775 0.7305
In 0.4740 0.7544 0.7914

Properties
As for the formation energy: -0.19 eV per atom. As for the total energy: -14.48 eV per formula unit. For the density of states at the Fermi level, the calculation gives 4.37 states/eV per cell. The volume comes out at 19.03 A^3/atom.

***

Record 7
Ce2Ga3Au: optimized geometry, PBE.

Cell: 5.8988 5.8988 8.9759 Å, 112.27 112.27 81.19°
Each line ends with the local moment (μB).
Sites, in units of the cell vectors:
Au 0.3313 0.3313 0.6626  0.00
Ga 0.1626 0.1626 0.8356  0.00
Ga 0.6730 0.6730 0.8356  0.00
Ga 0.1627 0.1627 0.3254  0.00
Au 0.6687 0.6687 0.3374  0.00
Ce 0.2609 0.7391 0.0000  0.64
Ce 0.7391 0.2609 0.0000  0.64
Ga 0.8373 0.8373 0.6746  0.00
Ce 0.7500 0.2500 0.5000  0.68
Ga 0.3270 0.3270 0.1644  0.00
Ga 0.8374 0.8374 0.1644  0.00
Ce 0.2500 0.7500 0.5000  0.68

Properties
As for the formation energy: -0.62 eV per atom. As for the total energy: -27.96 eV per formula unit. For the density of states at the Fermi level, the calculation gives 24.27 states/eV per cell. The volume comes out at 22.29 A^3/atom.

***

Record 8
LiTiIn: optimized geometry, PBE.

Cell: 4.5574 6.0080 5.5075 Å, 56.95 65.56 90.00°
Sites, in units of the cell vectors:
Ti 0.6887 0.4387 0.6225
In 0.0000 0.5000 0.0000
In 0.0000 0.0000 0.0000
Li 0.6746 0.9246 0.6509
Ti 0.3113 0.5613 0.3775
Li 0.3254 0.0754 0.3491

Properties
As for the formation energy: -0.07 eV per atom. As for the total energy: -12.77 eV per formula unit. For the density of states at the Fermi level, the calculation gives 3.88 states/eV per cell. The volume comes out at 18.32 A^3/atom.

***

Record 9
TbPmTm2: optimized geometry, PBE.

Cell: 3.5501 3.5501 11.6857 Å, 81.26 81.26 60.00°
Sites, in units of the cell vectors:
Tb 0.5000 0.5000 0.5000
Tm 0.2492 0.2492 0.2524
Pm 0.0000 0.0000 0.0000
Tm 0.7508 0.7508 0.7476

Properties
As for the formation energy: 0.02 eV per atom. As for the total energy: -18.24 eV per formula unit. For the density of states at the Fermi level, the calculation gives 5.07 states/eV per cell. The volume comes out at 31.39 A^3/atom.

***

Record 10
HfCr2Se2: optimized geometry, PBE.

Cell: 7.1706 7.1706 3.3729 Å, 90.00 90.00 90.00°
Each line ends with the local moment (μB).
Sites, in units of the cell vectors:
Se 0.6553 0.1553 0.0000  -0.02
Se 0.8447 0.6553 0.0000  -0.02
Hf 0.0000 0.0000 0.0000  -0.23
Se 0.1553 0.3447 0.0000  -0.02
Hf 0.5000 0.5000 0.0000  -0.23
Cr 0.1477 0.6477 0.5000  3.21
Cr 0.8523 0.3523 0.5000  3.21
Cr 0.6477 0.8523 0.5000  3.19
Se 0.3447 0.8447 0.0000  -0.02
Cr 0.3523 0.1477 0.5000  3.19

Properties
As for the total energy: -36.94 eV per formula unit. For the density of states at the Fermi level, the calculation gives 7.95 states/eV per cell. The volume comes out at 17.34 A^3/atom. Its uncorrected formation energy is -0.8 eV/f.u.

***

Record 11
KMgZnSb2: optimized geometry, PBE.

Cell: 4.4506 4.4506 8.1315 Å, 105.88 105.88 90.00°
Sites, in units of the cell vectors:
K 0.0000 0.0000 0.0000
Mg 0.7500 0.2500 0.5000
Sb 0.6332 0.6332 0.2664
Zn 0.2500 0.7500 0.5000
Sb 0.3668 0.3668 0.7336

Properties
As for the total energy: -13.85 eV per formula unit. For the density of states at the Fermi level, the calculation gives 1.95 states/eV per cell. The volume comes out at 29.70 A^3/atom. Its uncorrected formation energy is -1.6 eV/f.u.

***

Record 12
ReTe2CI: optimized geometry, PBE.

Cell: 4.6156 4.6156 4.7102 Å, 90.00 90.00 90.00°
Sites, in units of the cell vectors:
C 0.0000 0.0000 0.0000
Te 0.5000 0.0000 0.0000
Re 0.5000 0.5000 0.5000
Te 0.0000 0.5000 0.0000
I 0.0000 0.0000 0.5000

Properties
As for the total energy: -20.30 eV per formula unit. For the density of states at the Fermi level, the calculation gives 3.47 states/eV per cell. The volume comes out at 20.07 A^3/atom. Its uncorrected formation energy is 9.2 eV/f.u.

***

Record 13
BaTl2Hg: optimized geometry, PBE.

Cell: 5.2417 4.2528 6.3566 Å, 78.42 90.00 90.00°
Sites, in units of the cell vectors:
Ba 0.5000 0.2500 0.2500
Tl 0.0000 0.9294 0.9628
Tl 0.0000 0.5706 0.5372
Hg 0.5000 0.7500 0.7500

Properties
As for the formation energy: -0.26 eV per atom. As for the total energy: -7.99 eV per formula unit. For the density of states at the Fermi level, the calculation gives 2.16 states/eV per cell. The volume comes out at 34.70 A^3/atom.

***

Record 14
Ho2ThSc12: optimized geometry, PBE.

Cell: 6.2589 6.2589 22.3780 Å, 87.74 92.26 63.56°
Sites, in units of the cell vectors:
Sc 0.2811 0.2189 0.1323
Sc 0.0481 0.9517 0.2036
Th 0.5000 0.0000 0.0000
Sc 0.2334 0.7666 0.9187
Sc 0.2189 0.2811 0.8677
Sc 0.0823 0.9175 0.3342
Sc 0.2666 0.7334 0.0813
Sc 0.7811 0.7189 0.1323
Sc 0.7334 0.2666 0.9187
Ho 0.4327 0.0673 0.7246
Ho 0.5672 0.9328 0.2755
Sc 0.1383 0.8613 0.5531
Sc 0.6428 0.8572 0.5719
Ho 0.0673 0.4327 0.2754
Sc 0.6387 0.3617 0.5531
Sc 0.7189 0.7811 0.8677
Sc 0.4519 0.5483 0.7964
Sc 0.3617 0.6387 0.4469
Sc 0.1432 0.3568 0.5722
Sc 0.5483 0.4519 0.2036
Th 0.0000 0.5000 0.0000
Sc 0.9517 0.0481 0.7964
Sc 0.7666 0.2334 0.0813
Sc 0.5825 0.4177 0.3342
Sc 0.4177 0.5825 0.6658
Sc 0.3568 0.1432 0.4278
Ho 0.9328 0.5672 0.7245
Sc 0.9175 0.0823 0.6658
Sc 0.8613 0.1383 0.4469
Sc 0.8572 0.6428 0.4281

Properties
As for the formation energy: 0.14 eV per atom. As for the total energy: -90.51 eV per formula unit. For the density of states at the Fermi level, the calculation gives 51.40 states/eV per cell. The volume comes out at 26.09 A^3/atom.

***

Record 15
MgReHg2B: optimized geometry, PBE.

Cell: 5.2324 5.1595 5.2324 Å, 90.00 90.00 90.00°
Each line ends with the local moment (μB).
Sites, in units of the cell vectors:
Mg 0.0000 0.5000 0.0000  0.00
Hg 0.5000 0.0000 0.0000  0.01
Hg 0.0000 0.0000 0.5000  0.05
B 0.5000 0.5000 0.5000  -0.13
Re 0.0000 0.0000 0.0000  1.05

Properties
As for the formation energy: 1.83 eV per atom. As for the total energy: -12.17 eV per formula unit. For the density of states at the Fermi level, the calculation gives 3.42 states/eV per cell. The volume comes out at 28.25 A^3/atom.

***

Record 16
Ac3Pd2Pt4Pb2: optimized geometry, PBE.

Cell: 4.6141 4.6141 15.5195 Å, 90.00 90.00 120.00°
Sites, in units of the cell vectors:
Pb 0.3333 0.6667 0.5682
Ac 0.0000 0.0000 0.0000
Pt 0.3333 0.6667 0.8694
Ac 0.0000 0.0000 0.7411
Pt 0.6667 0.3333 0.6235
Pt 0.6667 0.3333 0.1306
Pd 0.3333 0.6667 0.1311
Pd 0.6667 0.3333 0.8689
Ac 0.0000 0.0000 0.2589
Pb 0.6667 0.3333 0.4318
Pt 0.3333 0.6667 0.3765

Properties
As for the formation energy: -0.75 eV per atom. As for the total energy: -62.56 eV per formula unit. For the density of states at the Fermi level, the calculation gives 7.95 states/eV per cell. The volume comes out at 26.01 A^3/atom.

***

Record 17
AcLaNd3Er: optimized geometry, PBE.

Cell: 5.9294 10.8594 7.1399 Å, 91.33 90.00 105.84°
Sites, in units of the cell vectors:
La 0.0547 0.1093 0.2784
Nd 0.4836 0.9673 0.2568
Er 0.3558 0.7115 0.5113
Er 0.6442 0.2885 0.4887
Nd 0.1630 0.3261 0.7407
Ac 0.6484 0.2968 0.0304
Nd 0.5164 0.0327 0.7432
La 0.9453 0.8907 0.7216
Ac 0.3516 0.7032 0.9696
Nd 0.8370 0.6739 0.2593
Nd 0.7819 0.5638 0.7286
Nd 0.2181 0.4362 0.2714

Properties
As for the formation energy: 0.17 eV per atom. As for the total energy: -26.87 eV per formula unit. For the density of states at the Fermi level, the calculation gives 17.33 states/eV per cell. The volume comes out at 36.85 A^3/atom.

***

Record 18
ReN2F2: optimized geometry, PBE.

Cell: 3.8317 3.8317 3.9900 Å, 90.00 90.00 90.00°
Each line ends with the local moment (μB).
Sites, in units of the cell vectors:
F 0.5000 0.5000 0.5000  0.27
N 0.5000 0.0000 0.0000  0.30
F 0.0000 0.0000 0.5000  -0.01
Re 0.0000 0.0000 0.0000  -0.22
N 0.0000 0.5000 0.0000  0.30

Properties
As for the total energy: -33.30 eV per formula unit. For the density of states at the Fermi level, the calculation gives 1.37 states/eV per cell. The volume comes out at 11.72 A^3/atom. Its uncorrected formation energy is -0.5 eV/f.u.

***

Record 19
MgAsIr2: optimized geometry, PBE.

Cell: 4.4005 2.8837 4.9452 Å, 88.97 90.00 90.00°
Sites, in units of the cell vectors:
Ir 0.0000 0.9598 0.9972
As 0.5000 0.7500 0.7500
Mg 0.5000 0.2500 0.2500
Ir 0.0000 0.5402 0.5028

Properties
As for the formation energy: -0.02 eV per atom. As for the total energy: -24.05 eV per formula unit. For the density of states at the Fermi level, the calculation gives 2.69 states/eV per cell. The volume comes out at 15.69 A^3/atom.

***

Record 20
V4Ni2W: optimized geometry, PBE.

Cell: 4.5300 4.5300 6.7926 Å, 70.52 70.52 90.00°
Each line ends with the local moment (μB).
Sites, in units of the cell vectors:
Ni 0.6009 0.6009 0.7983  0.06
V 0.7947 0.7947 0.4106  1.97
V 0.5000 0.0000 0.0000  0.03
W 0.0000 0.0000 0.0000  -0.05
V 0.0000 0.5000 0.0000  0.03
V 0.2053 0.2053 0.5894  1.97
Ni 0.3991 0.3991 0.2017  0.06

Properties
As for the formation energy: 1.16 eV per atom. As for the total energy: -52.87 eV per formula unit. For the density of states at the Fermi level, the calculation gives 10.30 states/eV per cell. The volume comes out at 17.56 A^3/atom.